First-principles (SCAN) data for a crystal of MgPb3I relaxed with PBEsol, as listed in the Alexandria database.

Cell: 5.903 5.903 5.903 Å, 90.00 90.00 90.00°
Space group Pm-3m (No. 221)
Inequivalent atoms, fractional coordinates:
Mg 0.000 0.000 0.000 (multiplicity 1)
Pb 0.000 0.500 0.500 (multiplicity 3)
I 0.500 0.500 0.500 (multiplicity 1)

Calculated values
* formation energy (no corrections): 0.75 eV/atom
* DOS at the Fermi energy: 0.574 states/eV per atom
* V: 205.72 Å³/cell